## Mn2Tc2O7 (PBE with a Hubbard U)

Data for crystalline Mn2Tc2O7 at its relaxed geometry.

electronic total energy = -7.8991 eV/atom
volume = 155.5 Å³/cell

```
Mn2Tc2O7
1.0
3.203 -4.659 0.000
3.203 4.659 0.000
-0.870 0.000 5.210
Mn Tc O
2 2 7
direct
0.189 0.811 0.000 Mn
0.811 0.189 0.000 Mn
0.244 0.244 0.610 Tc
0.756 0.756 0.390 Tc
0.071 0.071 0.279 O
0.108 0.440 0.800 O
0.440 0.108 0.800 O
0.500 0.500 0.500 O
0.560 0.892 0.200 O
0.892 0.560 0.200 O
0.929 0.929 0.721 O
```